Here is LaPbCl after structural relaxation from the Alexandria database. Energies are from PBE-GGA.

Summary:
As for the symmetry: C2/m, No. 12. For the energy above the most stable polymorph in this dataset, the calculation gives 0.000 eV/f.u. As for the total energy: -28.1 eV/cell.

Unit cell a=6.0118 b=6.0118 c=9.0121 alpha=112.61 beta=112.61 gamma=44.83
Fractional positions:
La1 0.1593 0.1593 0.2488
La2 0.8407 0.8407 0.7512
Pb1 0.1734 0.1734 0.8818
Pb2 0.8266 0.8266 0.1182
Cl1 0.3827 0.3827 0.5805
Cl2 0.6173 0.6173 0.4195

Here is InGePbBr2 after structural relaxation from the Alexandria database. Energies are from PBE-GGA.

Summary:
As for the symmetry: P4/mmm, No. 123. As for the total energy: -14.4 eV/cell.

Unit cell a=5.3471 b=5.3471 c=5.6743 alpha=90.00 beta=90.00 gamma=90.00
Fractional positions:
In1 0.0000 0.0000 0.0000
Ge1 0.0000 0.0000 0.5000
Pb1 0.5000 0.5000 0.0000
Br1 0.0000 0.5000 0.5000
Br2 0.5000 0.0000 0.5000

Here is InGe2CS after structural relaxation from the Alexandria database. Energies are from PBE-GGA.

Summary:
As for the symmetry: P4/mmm, No. 123. For the energy above the most stable polymorph in this dataset, the calculation gives 0.240 eV/f.u. As for the total energy: -20.8 eV/cell.

Unit cell a=4.3490 b=4.3490 c=4.6897 alpha=90.00 beta=90.00 gamma=90.00
Fractional positions:
In1 0.0000 0.0000 0.0000
Ge1 0.0000 0.5000 0.5000
Ge2 0.5000 0.0000 0.5000
C1 0.5000 0.5000 0.5000
S1 0.5000 0.5000 0.0000

Here is Th2InSe after structural relaxation from the Alexandria database. Energies are from PBE-GGA.

Summary:
As for the symmetry: R3m, No. 160. For the energy above the most stable polymorph in this dataset, the calculation gives 0.320 eV/f.u. As for the total energy: -24.0 eV/cell.

Unit cell a=9.2151 b=9.2151 c=9.2151 alpha=24.33 beta=24.33 gamma=24.33
Fractional positions:
Th1 0.0000 0.0000 0.0000
Th2 0.1876 0.1876 0.1876
In1 0.7604 0.7604 0.7604
Se1 0.5943 0.5943 0.5943

Here is Rb2TlSeO after structural relaxation from the Alexandria database. Energies are from PBE-GGA.

Summary:
As for the symmetry: P4/mmm, No. 123. As for the total energy: -16.7 eV/cell.

Unit cell a=5.7247 b=5.7247 c=4.6747 alpha=90.00 beta=90.00 gamma=90.00
Fractional positions:
Rb1 0.0000 0.5000 0.0000
Rb2 0.5000 0.0000 0.0000
Tl1 0.0000 0.0000 0.5000
Se1 0.5000 0.5000 0.5000
O1 0.0000 0.0000 0.0000

Here is BaNaSn3 after structural relaxation from the Alexandria database. Energies are from PBE-GGA.

Summary:
As for the symmetry: Cmcm, No. 63. For the energy above the most stable polymorph in this dataset, the calculation gives 0.000 eV/f.u. Its formation energy from the elements is -179.7 kJ/mol of formula units. As for the total energy: -34.2 eV/cell.

Unit cell a=15.1236 b=15.1236 c=4.6881 alpha=90.00 beta=90.00 gamma=161.16
Fractional positions:
Ba1 0.0771 0.9229 0.7500
Ba2 0.9229 0.0771 0.2500
Na1 0.2048 0.7952 0.2500
Na2 0.7952 0.2048 0.7500
Sn1 0.3137 0.6863 0.2500
Sn2 0.3709 0.6291 0.7500
Sn3 0.4717 0.5283 0.7500
Sn4 0.5283 0.4717 0.2500
Sn5 0.6291 0.3709 0.2500
Sn6 0.6863 0.3137 0.7500

- What is the formula in the first record?
  LaPbCl

- Which formula does entry 2 have?
  InGePbBr2